MgAg2Mo SCAN PBEsol geometry; volume = 16.529 A^3/atom; total magnetic moment = 0.6 μB per cell; DFT formation energy = 0.33 eV/atom; DOS at the Fermi energy = 2.0 states/eV/f.u.; symmetry = No. 10
1.0
-1.4821 1.8289 1.3855
-2.6793 -3.0035 1.0986
3.1268 -1.0428 4.7746
Ag Mo Mg
2 1 1
Cartesian
0.8001 -0.2657 1.2250
0.8446 1.0517 4.9351
-0.5173 -1.1088 3.6294
-2.0807 -0.5873 1.2421